## CoIr3Br (PBE-GGA)

Data for a relaxed CoIr3Br crystal.

Results
**Total DFT energy (no corrections)**: -0.3919 Ry per atom
**E above lowest polymorph**: 0 meV per atom
**SG**: Pm-3m (221)
**Theoretical density**: 12485 kg/m3
**Formation energy from raw total energies**: 1.740 eV per atom
**Size of the total moment**: 1.0737 μB per atom

a b c (Å): 4.565 4.565 4.565
angles (deg): 90.00 90.00 90.00
Atoms (fractional coordinates):
1 Co 0.000 0.000 0.000
2 Ir 0.000 0.500 0.000
3 Ir 0.000 0.000 0.500
4 Ir 0.500 0.000 0.000
5 Br 0.500 0.500 0.500

=====

## TiCrAgS4 (PBE-GGA)

Data for a relaxed TiCrAgS4 crystal.

Results
**Total DFT energy (no corrections)**: -0.4333 Ry per atom
**E above lowest polymorph**: 195 meV per atom
**SG**: Pmc2_1 (26)
**Theoretical density**: 3599 kg/m3
**Formation energy from raw total energies**: -0.626 eV per atom
**Size of the total moment**: 0.3387 μB per atom

a b c (Å): 5.817 9.155 11.642
angles (deg): 90.00 90.00 90.00
Atoms (fractional coordinates):
1 S 0.756 0.000 0.097
2 S 0.256 0.000 0.903
3 S 0.246 0.500 0.388
4 S 0.746 0.500 0.612
5 S 0.740 0.331 0.907
6 S 0.229 0.500 0.830
7 S 0.758 0.817 0.406
8 S 0.769 0.000 0.671
9 S 0.269 0.000 0.329
10 S 0.758 0.183 0.406
11 S 0.258 0.183 0.594
12 S 0.258 0.817 0.594
13 S 0.240 0.331 0.093
14 S 0.729 0.500 0.170
15 S 0.240 0.669 0.093
16 S 0.740 0.669 0.907
17 Ti 0.649 0.000 0.278
18 Ti 0.149 0.000 0.722
19 Ti 0.513 0.000 0.512
20 Ti 0.013 0.000 0.488
21 Ag 0.304 0.500 0.611
22 Ag 0.694 0.000 0.883
23 Ag 0.804 0.500 0.389
24 Ag 0.194 0.000 0.117
25 Cr 0.365 0.500 0.214
26 Cr 0.980 0.500 0.010
27 Cr 0.865 0.500 0.786
28 Cr 0.480 0.500 0.990

=====

## Ca2SiNi (PBE-GGA)

Data for a relaxed Ca2SiNi crystal.

Results
**Total DFT energy (no corrections)**: -0.2872 Ry per atom
**SG**: Pmmm (47)
**Theoretical density**: 3255 kg/m3
**Formation energy from raw total energies**: -0.106 eV per atom
**Size of the total moment**: 0.0000 μB per atom

a b c (Å): 3.336 3.319 8.373
angles (deg): 66.70 90.00 90.00
Atoms (fractional coordinates):
1 Ca 0.000 0.986 0.014
2 Ca 0.000 0.514 0.486
3 Ni 0.500 0.250 0.250
4 Si 0.500 0.750 0.750

=====

## ZnInTeO5 (PBE-GGA)

Data for a relaxed ZnInTeO5 crystal.

Results
**Total DFT energy (no corrections)**: -0.3748 Ry per atom
**SG**: C2/c (15)
**Theoretical density**: 5274 kg/m3
**Formation energy from raw total energies**: -1.106 eV per atom
**Size of the total moment**: 0.0617 μB per atom

a b c (Å): 5.912 5.912 8.011
angles (deg): 109.73 109.73 92.43
Atoms (fractional coordinates):
1 In 0.000 0.000 0.000
2 In 0.000 0.000 0.500
3 O 0.696 0.669 0.839
4 O 0.331 0.304 0.661
5 O 0.304 0.331 0.161
6 O 0.751 0.274 0.485
7 O 0.274 0.751 0.985
8 O 0.726 0.249 0.015
9 O 0.929 0.071 0.750
10 O 0.249 0.726 0.515
11 O 0.071 0.929 0.250
12 O 0.669 0.696 0.339
13 Te 0.649 0.351 0.250
14 Te 0.351 0.649 0.750
15 Zn 0.704 0.296 0.750
16 Zn 0.296 0.704 0.250

=====

## CsRb2Na2 (PBE-GGA)

Data for a relaxed CsRb2Na2 crystal.

Results
**Total DFT energy (no corrections)**: -0.0760 Ry per atom
**E above lowest polymorph**: 21 meV per atom
**SG**: I4/mmm (139)
**Theoretical density**: 1542 kg/m3
**Size of the total moment**: 0.0000 μB per atom

a b c (Å): 6.445 6.445 10.149
angles (deg): 71.49 71.49 90.00
Atoms (fractional coordinates):
1 Rb 0.250 0.750 0.500
2 Rb 0.750 0.250 0.500
3 Cs 0.000 0.000 0.000
4 Na 0.406 0.406 0.188
5 Na 0.594 0.594 0.812

=====

## Li2PuRuO6 (PBE-GGA)

Data for a relaxed Li2PuRuO6 crystal.

Results
**Total DFT energy (no corrections)**: -0.5526 Ry per atom
**SG**: P4mm (99)
**Theoretical density**: 5648 kg/m3
**Formation energy from raw total energies**: -1.800 eV per atom
**Size of the total moment**: 0.2036 μB per atom

a b c (Å): 3.957 5.814 5.814
angles (deg): 90.00 90.00 90.00
Atoms (fractional coordinates):
1 O 0.236 0.500 0.500
2 O 0.738 0.254 0.746
3 O 0.228 0.000 0.000
4 O 0.738 0.746 0.746
5 O 0.738 0.254 0.254
6 O 0.738 0.746 0.254
7 Li 0.784 0.000 0.500
8 Li 0.784 0.500 0.000
9 Ru 0.733 0.500 0.500
10 Pu 0.727 0.000 0.000

=====

## MnNbGeHI (PBE-GGA)

Data for a relaxed MnNbGeHI crystal.

Results
**Total DFT energy (no corrections)**: -0.4153 Ry per atom
**E above lowest polymorph**: 110 meV per atom
**SG**: Pmm2 (25)
**Theoretical density**: 6272 kg/m3
**Size of the total moment**: 0.6362 μB per atom

a b c (Å): 3.429 3.656 7.356
angles (deg): 90.00 90.00 90.00
Atoms (fractional coordinates):
1 Mn 0.500 0.000 0.119
2 Ge 0.000 0.500 0.070
3 Nb 0.000 0.000 0.799
4 H 0.000 0.500 0.724
5 I 0.500 0.000 0.497

=====

## Sc2TaHgC (PBE-GGA)

Data for a relaxed Sc2TaHgC crystal.

Results
**Total DFT energy (no corrections)**: -0.5292 Ry per atom
**SG**: P4/mmm (123)
**Theoretical density**: 9153 kg/m3
**Size of the total moment**: 0.0000 μB per atom

a b c (Å): 4.489 4.489 4.353
angles (deg): 90.00 90.00 90.00
Atoms (fractional coordinates):
1 Ta 0.000 0.000 0.500
2 Sc 0.500 0.000 0.000
3 Sc 0.000 0.500 0.000
4 C 0.000 0.000 0.000
5 Hg 0.500 0.500 0.500